No. 1
This record from Alexandria describes a relaxed structure of SbTeAs2Se. The functional is GGA-PBE.

Cell: 5.369 5.369 5.106 Å, 90.00 90.00 90.00°
Space group P4/mmm (No. 123)
Inequivalent atoms, fractional coordinates:
Sb: 0.000 0.000 0.000 x1
Te: 0.500 0.500 0.500 x1
As: 0.000 0.500 0.000 x2
Se: 0.000 0.000 0.500 x1

Summary:
Calculated volume   147 Å³/cell
Electronic total energy   -15.978 eV/f.u.
ΔE to the lowest computed polymorph   0.00 kJ per mole of atoms
Energy relative to the elements, uncorrected   0.814 eV per atom
Density of states at the Fermi level   6.2 states/eV per cell

No. 2
This record from Alexandria describes a relaxed structure of LiThNi2. The functional is GGA-PBE.

Cell: 3.365 3.365 5.974 Å, 90.00 90.00 90.00°
Space group P4/mmm (No. 123)
Inequivalent atoms, fractional coordinates:
Li: 0.000 0.000 0.000 x1
Th: 0.000 0.000 0.500 x1
Ni: 0.500 0.500 0.214 x2

Summary:
Calculated volume   68 Å³/cell
Electronic total energy   -21.362 eV/f.u.
ΔE_f   -45 kJ/mol of formula units
Density of states at the Fermi level   1.5 states/eV per cell

No. 3
This record from Alexandria describes a relaxed structure of Tl2ReRuRh. The functional is GGA-PBE.

Cell: 5.104 5.104 4.668 Å, 90.00 90.00 90.00°
Space group P4/mmm (No. 123)
Inequivalent atoms, fractional coordinates:
Tl: 0.000 0.500 0.000 x2
Re: 0.000 0.000 0.500 x1
Ru: 0.000 0.000 0.000 x1
Rh: 0.500 0.500 0.500 x1

Summary:
Calculated volume   122 Å³/cell
Electronic total energy   -26.303 eV/f.u.
ΔE_f   724 kJ/mol of formula units
Density of states at the Fermi level   4.8 states/eV per cell

No. 4
This record from Alexandria describes a relaxed structure of Ti3NiTe. The functional is GGA-PBE.

Cell: 4.570 4.570 4.570 Å, 90.00 90.00 90.00°
Space group Pm-3m (No. 221)
Inequivalent atoms, fractional coordinates:
Ti: 0.000 0.000 0.500 x3
Ni: 0.000 0.000 0.000 x1
Te: 0.500 0.500 0.500 x1

Summary:
Calculated volume   95 Å³/cell
Electronic total energy   -32.410 eV/f.u.
ΔE to the lowest computed polymorph   0.00 kJ per mole of atoms
Energy relative to the elements, uncorrected   0.040 eV per atom
Density of states at the Fermi level   7.5 states/eV per cell

No. 5
This record from Alexandria describes a relaxed structure of DyAl2I8. The functional is GGA-PBE.

Cell: 14.090 11.297 7.222 Å, 90.00 98.55 90.00°
Space group C2/m (No. 12)
Inequivalent atoms, fractional coordinates:
Dy: 0.000 0.000 0.000 x2
Al: 0.195 0.000 0.652 x4
I: 0.096 0.178 0.770 x8
I: 0.130 0.500 0.203 x4
I: 0.189 0.000 0.278 x4

Summary:
Calculated volume   1137 Å³/cell
Electronic total energy   -33.215 eV/f.u.
Energy relative to the elements, uncorrected   -0.793 eV per atom
Density of states at the Fermi level   9.9 states/eV per cell

No. 6
This record from Alexandria describes a relaxed structure of Dy2ZnGa3. The functional is GGA-PBE.

Cell: 7.307 8.787 15.149 Å, 90.00 90.00 90.00°
Space group Fmmm (No. 69)
Inequivalent atoms, fractional coordinates:
Dy: 0.249 0.000 0.000 x8
Dy: 0.250 0.250 0.250 x8
Zn: 0.000 0.000 0.333 x8
Ga: 0.000 0.000 0.167 x8
Ga: 0.000 0.249 0.416 x16

Summary:
Calculated volume   973 Å³/cell
Electronic total energy   -23.185 eV/f.u.
ΔE_f   -350 kJ/mol of formula units
ΔE to the lowest computed polymorph   0.00 kJ per mole of atoms
Density of states at the Fermi level   26.0 states/eV per cell

No. 7
This record from Alexandria describes a relaxed structure of LiSnI2. The functional is GGA-PBE.

Cell: 3.862 3.862 8.065 Å, 90.00 90.00 90.00°
Space group P4/mmm (No. 123)
Inequivalent atoms, fractional coordinates:
Li: 0.000 0.000 0.000 x1
Sn: 0.000 0.000 0.500 x1
I: 0.500 0.500 0.228 x2

Summary:
Calculated volume   120 Å³/cell
Electronic total energy   -10.510 eV/f.u.
ΔE to the lowest computed polymorph   14.71 kJ per mole of atoms
Energy relative to the elements, uncorrected   -0.373 eV per atom
Density of states at the Fermi level   1.9 states/eV per cell

No. 8
This record from Alexandria describes a relaxed structure of Cd2SiOs. The functional is GGA-PBE.

Cell: 2.9924 2.9924 27.7164 Å, 90.00 90.00 120.00°
Space group R3m (No. 160, hexagonal axes)
Inequivalent atoms, fractional coordinates:
Cd: 0.0000 0.0000 0.0000 x3
Cd: 0.0000 0.0000 0.2348 x3
Si: 0.0000 0.0000 0.4803 x3
Os: 0.0000 0.0000 0.7533 x3

Summary:
Calculated volume   215 Å³/cell
Electronic total energy   -17.742 eV/f.u.
Energy relative to the elements, uncorrected   0.185 eV per atom
Density of states at the Fermi level   7.0 states/eV per cell

> Which value of electronic total energy does entry 6 give?

-23.185 eV/f.u.